# 1
MgHgSeO: relaxed, PBE.

Unit cell a=6.2493 b=8.4426 c=5.7313 alpha=90.00 beta=90.00 gamma=90.00
Positions (direct):
Mg1 0.1199 0.0590 0.0000
Mg2 0.3801 0.0590 0.5000
Mg3 0.6199 0.9410 0.0000
Mg4 0.8801 0.9410 0.5000
Hg1 0.0262 0.6652 0.1194
Hg2 0.4738 0.6652 0.6194
Hg3 0.5262 0.3348 0.1194
Hg4 0.9738 0.3348 0.6194
Se1 0.0310 0.6576 0.6346
Se2 0.4690 0.6576 0.1346
Se3 0.5310 0.3424 0.6346
Se4 0.9690 0.3424 0.1346
O1 0.1033 0.0628 0.6585
O2 0.3967 0.0628 0.1585
O3 0.6033 0.9372 0.6585
O4 0.8967 0.9372 0.1585

E (eV per atom): -3.763
ΔE to the lowest computed polymorph (eV/atom): 0.000
Crystal system: orthorhombic
SG: No. 29

# 2
Pr4OsBr5: relaxed, PBE.

Unit cell a=9.6986 b=9.6986 c=9.0055 alpha=104.58 beta=104.58 gamma=25.07
Positions (direct):
Pr1 0.0009 0.0009 0.2232
Pr2 0.3528 0.3528 0.9157
Pr3 0.6472 0.6472 0.0843
Pr4 0.9991 0.9991 0.7768
Os1 0.5000 0.5000 0.0000
Br1 0.1684 0.1684 0.3348
Br2 0.1715 0.1715 0.8500
Br3 0.5000 0.5000 0.5000
Br4 0.8285 0.8285 0.1500
Br5 0.8316 0.8316 0.6652

E (eV per atom): -5.214
Crystal system: monoclinic
SG: No. 12

# 3
Er2Tm5Ni2Te2: relaxed, PBE.

Unit cell a=9.2487 b=9.2487 c=9.2487 alpha=156.18 beta=66.95 gamma=118.47
Positions (direct):
Er1 0.1854 0.0000 0.1854
Er2 0.8146 0.0000 0.8146
Tm1 0.1208 0.6208 0.5000
Tm2 0.2045 0.3510 0.8535
Tm3 0.4975 0.3510 0.1465
Tm4 0.5705 0.2038 0.3667
Tm5 0.8370 0.2038 0.6333
Ni1 0.4304 0.6929 0.7376
Ni2 0.9553 0.6929 0.2624
Te1 0.4582 0.9582 0.5000
Te2 0.8558 0.8558 0.0000

E (eV per atom): -5.123
ΔE to the lowest computed polymorph (eV/atom): 0.004
Crystal system: orthorhombic
SG: No. 44

# 4
Mo2SBr2: relaxed, PBE.

Unit cell a=9.5851 b=9.5851 c=12.0611 alpha=90.00 beta=90.00 gamma=40.91
Positions (direct):
Mo1 0.2443 0.7557 0.5618
Mo2 0.2443 0.7557 0.9382
Mo3 0.3415 0.5101 0.1017
Mo4 0.3415 0.5101 0.3983
Mo5 0.4899 0.6585 0.1017
Mo6 0.4899 0.6585 0.3983
Mo7 0.5101 0.3415 0.6017
Mo8 0.5101 0.3415 0.8983
Mo9 0.6585 0.4899 0.6017
Mo10 0.6585 0.4899 0.8983
Mo11 0.7557 0.2443 0.0618
Mo12 0.7557 0.2443 0.4382
S1 0.1183 0.8817 0.1280
S2 0.1183 0.8817 0.3720
S3 0.4113 0.5887 0.7500
S4 0.5887 0.4113 0.2500
S5 0.8817 0.1183 0.6280
S6 0.8817 0.1183 0.8720
Br1 0.0999 0.6052 0.5634
Br2 0.0999 0.6052 0.9366
Br3 0.1247 0.5217 0.2500
Br4 0.3948 0.9001 0.5634
Br5 0.3948 0.9001 0.9366
Br6 0.4783 0.8753 0.2500
Br7 0.5217 0.1247 0.7500
Br8 0.6052 0.0999 0.0634
Br9 0.6052 0.0999 0.4366
Br10 0.8753 0.4783 0.7500
Br11 0.9001 0.3948 0.0634
Br12 0.9001 0.3948 0.4366

E (eV per atom): -6.512
Crystal system: orthorhombic
SG: No. 63

# 5
MgCdSnP2: relaxed, PBE.

Unit cell a=4.3134 b=4.3134 c=6.9292 alpha=90.00 beta=90.00 gamma=120.00
Positions (direct):
Mg1 0.0000 0.0000 0.0000
Cd1 0.3333 0.6667 0.2723
Sn1 0.6667 0.3333 0.6371
P1 0.0000 0.0000 0.3951
P2 0.3333 0.6667 0.8825

E (eV per atom): -3.644
Crystal system: trigonal
SG: No. 156

# 6
KRbNb2O4: relaxed, PBE.

Unit cell a=8.6826 b=8.3239 c=5.8490 alpha=90.00 beta=128.83 gamma=90.00
Positions (direct):
K1 0.0000 0.0000 0.0000
K2 0.5000 0.5000 0.0000
Rb1 0.0000 0.7530 0.5000
Rb2 0.5000 0.2530 0.5000
Nb1 0.0000 0.3378 0.5000
Nb2 0.0000 0.4209 0.0000
Nb3 0.5000 0.8378 0.5000
Nb4 0.5000 0.9209 0.0000
O1 0.1872 0.4185 0.4407
O2 0.1904 0.3522 0.9393
O3 0.3096 0.8522 0.0607
O4 0.3128 0.9185 0.5593
O5 0.6872 0.9185 0.4407
O6 0.6904 0.8522 0.9393
O7 0.8096 0.3522 0.0607
O8 0.8128 0.4185 0.5593

E (eV per atom): -6.929
Crystal system: monoclinic
SG: No. 5

# 7
Tm4AlCo2Ge4: relaxed, PBE.

Unit cell a=7.8186 b=7.8186 c=6.8372 alpha=106.89 beta=106.89 gamma=31.11
Positions (direct):
Tm1 0.0894 0.0894 0.3879
Tm2 0.1527 0.1527 0.9405
Tm3 0.8473 0.8473 0.0595
Tm4 0.9106 0.9106 0.6121
Al1 0.5000 0.5000 0.0000
Co1 0.2790 0.2790 0.3679
Co2 0.7210 0.7210 0.6321
Ge1 0.2983 0.2983 0.7361
Ge2 0.4336 0.4336 0.3331
Ge3 0.5664 0.5664 0.6669
Ge4 0.7017 0.7017 0.2639

E (eV per atom): -5.661
Crystal system: monoclinic
SG: No. 12

# 8
LaGdBi: relaxed, PBE.

Unit cell a=7.5268 b=7.5268 c=7.5268 alpha=90.00 beta=90.00 gamma=90.00
Positions (direct):
La1 0.0000 0.0000 0.0000
La2 0.0000 0.5000 0.5000
La3 0.5000 0.0000 0.5000
La4 0.5000 0.5000 0.0000
Gd1 0.0000 0.0000 0.5000
Gd2 0.0000 0.5000 0.0000
Gd3 0.5000 0.0000 0.0000
Gd4 0.5000 0.5000 0.5000
Bi1 0.2500 0.2500 0.7500
Bi2 0.2500 0.7500 0.2500
Bi3 0.7500 0.2500 0.2500
Bi4 0.7500 0.7500 0.7500

E (eV per atom): -4.971
ΔE to the lowest computed polymorph (eV/atom): 0.000
Crystal system: cubic
SG: No. 216

# 9
RbNbCl3: relaxed, PBE.

Unit cell a=4.6593 b=4.6593 c=7.8096 alpha=90.00 beta=90.00 gamma=90.00
Positions (direct):
Rb1 0.0000 0.0000 0.0000
Nb1 0.5000 0.5000 0.4138
Cl1 0.0000 0.0000 0.6193
Cl2 0.0000 0.5000 0.2814
Cl3 0.5000 0.0000 0.2814

E (eV per atom): -4.079
Crystal system: tetragonal
SG: No. 99

# 10
Na4OsO4: relaxed, PBE.

Unit cell a=5.7752 b=5.8156 c=8.0749 alpha=91.24 beta=104.29 gamma=108.14
Positions (direct):
Na1 0.0352 0.2660 0.0698
Na2 0.1914 0.7306 0.3284
Na3 0.2570 0.2654 0.4927
Na4 0.4499 0.2354 0.8888
Na5 0.5501 0.7646 0.1112
Na6 0.7430 0.7346 0.5073
Na7 0.8086 0.2694 0.6716
Na8 0.9648 0.7340 0.9302
Os1 0.3862 0.7351 0.7369
Os2 0.6138 0.2649 0.2631
O1 0.1884 0.8804 0.6028
O2 0.1929 0.4753 0.8393
O3 0.2915 0.0236 0.1544
O4 0.4089 0.4806 0.2795
O5 0.5911 0.5194 0.7205
O6 0.7085 0.9764 0.8456
O7 0.8071 0.5247 0.1607
O8 0.8116 0.1196 0.3972

E (eV per atom): -5.220
ΔE to the lowest computed polymorph (eV/atom): 0.093
Crystal system: triclinic
SG: No. 2

# 11
Hf4Bi2SbP: relaxed, PBE.

Unit cell a=3.9602 b=3.9602 c=13.7357 alpha=90.00 beta=90.00 gamma=120.00
Positions (direct):
Hf1 0.3333 0.6667 0.1225
Hf2 0.3333 0.6667 0.4099
Hf3 0.6667 0.3333 0.5901
Hf4 0.6667 0.3333 0.8775
Bi1 0.3333 0.6667 0.7370
Bi2 0.6667 0.3333 0.2630
Sb1 0.0000 0.0000 0.0000
P1 0.0000 0.0000 0.5000

E (eV per atom): -7.697
Crystal system: trigonal
SG: No. 164

# 12
LiMgNiBi: relaxed, PBE.

Unit cell a=6.4960 b=6.4960 c=6.4960 alpha=90.00 beta=90.00 gamma=90.00
Positions (direct):
Li1 0.0000 0.0000 0.0000
Li2 0.0000 0.5000 0.5000
Li3 0.5000 0.0000 0.5000
Li4 0.5000 0.5000 0.0000
Mg1 0.2500 0.2500 0.7500
Mg2 0.2500 0.7500 0.2500
Mg3 0.7500 0.2500 0.2500
Mg4 0.7500 0.7500 0.7500
Ni1 0.0000 0.0000 0.5000
Ni2 0.0000 0.5000 0.0000
Ni3 0.5000 0.0000 0.0000
Ni4 0.5000 0.5000 0.5000
Bi1 0.2500 0.2500 0.2500
Bi2 0.2500 0.7500 0.7500
Bi3 0.7500 0.2500 0.7500
Bi4 0.7500 0.7500 0.2500

E (eV per atom): -3.480
ΔE to the lowest computed polymorph (eV/atom): 0.000
Crystal system: cubic
SG: No. 216

Look up the E of the sixth one.
-6.929 eV per atom

Among the records above, which one has the highest E?
LiMgNiBi

What is the formula in the fifth record?
MgCdSnP2